[1]
The following is a PBE calculation of a relaxed TaCdFe2 crystal, from the Alexandria database.

Structure (CIF):
```
data_TaCdFe2
_chemical_formula_sum 'Ta1 Cd1 Fe2'
_space_group_name_H-M_alt 'P 1'
_space_group_IT_number 1
_space_group_name_Hall 'P 1'
_cell_length_a 3.108
_cell_length_b 3.108
_cell_length_c 6.259
_cell_angle_alpha 90.00
_cell_angle_beta 90.00
_cell_angle_gamma 90.00
loop_
_atom_site_label
_atom_site_type_symbol
_atom_site_fract_x
_atom_site_fract_y
_atom_site_fract_z
Ta1 Ta 0.000 0.000 0.000
Cd1 Cd 0.000 0.000 0.500
Fe1 Fe 0.500 0.500 0.216
Fe2 Fe 0.500 0.500 0.784
```

Results
Density of states at the Fermi level, states/eV/cell: 4.82
Energy, eV/f.u.: -29.2
Crystal system: tetragonal

***

[2]
The following is a PBE calculation of a relaxed Li4Y3In4 crystal, from the Alexandria database.

Structure (CIF):
```
data_Li4Y3In4
_chemical_formula_sum 'Li4 Y3 In4'
_space_group_name_H-M_alt 'P 1'
_space_group_IT_number 1
_space_group_name_Hall 'P 1'
_cell_length_a 15.545
_cell_length_b 15.545
_cell_length_c 4.899
_cell_angle_alpha 99.03
_cell_angle_beta 99.03
_cell_angle_gamma 12.77
loop_
_atom_site_label
_atom_site_type_symbol
_atom_site_fract_x
_atom_site_fract_y
_atom_site_fract_z
Li1 Li 0.092 0.092 0.092
Li2 Li 0.240 0.240 0.739
Li3 Li 0.760 0.760 0.261
Li4 Li 0.908 0.908 0.908
Y1 Y 0.358 0.358 0.358
Y2 Y 0.500 0.500 0.000
Y3 Y 0.642 0.642 0.642
In1 In 0.049 0.049 0.550
In2 In 0.183 0.183 0.183
In3 In 0.817 0.817 0.817
In4 In 0.951 0.951 0.450
```

Results
Density of states at the Fermi level, states/eV/cell: 5.64
Energy, eV/f.u.: -41.9
Crystal system: monoclinic

***

[3]
The following is a PBE calculation of a relaxed CaLuCdAg crystal, from the Alexandria database.

Structure (CIF):
```
data_CaLuCdAg
_chemical_formula_sum 'Ca1 Lu1 Cd1 Ag1'
_space_group_name_H-M_alt 'P 1'
_space_group_IT_number 1
_space_group_name_Hall 'P 1'
_cell_length_a 5.200
_cell_length_b 5.200
_cell_length_c 5.200
_cell_angle_alpha 60.00
_cell_angle_beta 60.00
_cell_angle_gamma 60.00
loop_
_atom_site_label
_atom_site_type_symbol
_atom_site_fract_x
_atom_site_fract_y
_atom_site_fract_z
Ca1 Ca 0.000 0.000 0.000
Lu1 Lu 0.500 0.500 0.500
Cd1 Cd 0.250 0.250 0.250
Ag1 Ag 0.750 0.750 0.750
```

Results
Density of states at the Fermi level, states/eV/cell: 2.81
Energy, eV/f.u.: -11.4
Crystal system: cubic

***

[4]
The following is a PBE calculation of a relaxed Rb2HfSn2Se6 crystal, from the Alexandria database.

Structure (CIF):
```
data_Rb2HfSn2Se6
_chemical_formula_sum 'Rb2 Hf1 Sn2 Se6'
_space_group_name_H-M_alt 'P 1'
_space_group_IT_number 1
_space_group_name_Hall 'P 1'
_cell_length_a 7.490
_cell_length_b 7.490
_cell_length_c 8.643
_cell_angle_alpha 115.71
_cell_angle_beta 115.71
_cell_angle_gamma 61.92
loop_
_atom_site_label
_atom_site_type_symbol
_atom_site_fract_x
_atom_site_fract_y
_atom_site_fract_z
Rb1 Rb 0.201 0.201 0.181
Rb2 Rb 0.799 0.799 0.819
Hf1 Hf 0.000 0.000 0.500
Sn1 Sn 0.456 0.456 0.806
Sn2 Sn 0.544 0.544 0.194
Se1 Se 0.169 0.707 0.230
Se2 Se 0.227 0.227 0.586
Se3 Se 0.293 0.831 0.770
Se4 Se 0.707 0.169 0.230
Se5 Se 0.773 0.773 0.414
Se6 Se 0.831 0.293 0.770
```

Results
Density of states at the Fermi level, states/eV/cell: 2.37
Energy, eV/f.u.: -49.6
Crystal system: monoclinic
Uncorrected formation energy, eV/atom: -0.801

***

[5]
The following is a PBE calculation of a relaxed La5CoGe3 crystal, from the Alexandria database.

Structure (CIF):
```
data_La5CoGe3
_chemical_formula_sum 'La10 Co2 Ge6'
_space_group_name_H-M_alt 'P 1'
_space_group_IT_number 1
_space_group_name_Hall 'P 1'
_cell_length_a 9.028
_cell_length_b 9.028
_cell_length_c 7.177
_cell_angle_alpha 90.00
_cell_angle_beta 90.00
_cell_angle_gamma 120.00
loop_
_atom_site_label
_atom_site_type_symbol
_atom_site_fract_x
_atom_site_fract_y
_atom_site_fract_z
La1 La 0.000 0.238 0.250
La2 La 0.000 0.762 0.750
La3 La 0.238 0.000 0.250
La4 La 0.238 0.238 0.750
La5 La 0.333 0.667 0.000
La6 La 0.333 0.667 0.500
La7 La 0.667 0.333 0.000
La8 La 0.667 0.333 0.500
La9 La 0.762 0.000 0.750
La10 La 0.762 0.762 0.250
Co1 Co 0.000 0.000 0.000
Co2 Co 0.000 0.000 0.500
Ge1 Ge 0.000 0.409 0.750
Ge2 Ge 0.000 0.591 0.250
Ge3 Ge 0.409 0.000 0.750
Ge4 Ge 0.409 0.409 0.250
Ge5 Ge 0.591 0.000 0.250
Ge6 Ge 0.591 0.591 0.750
```

Results
Density of states at the Fermi level, states/eV/cell: 7.23
Energy, eV/f.u.: -50.9
Crystal system: hexagonal

***

[6]
The following is a PBE calculation of a relaxed Mg12Tl3Ga crystal, from the Alexandria database.

Structure (CIF):
```
data_Mg12Tl3Ga
_chemical_formula_sum 'Mg12 Tl3 Ga1'
_space_group_name_H-M_alt 'P 1'
_space_group_IT_number 1
_space_group_name_Hall 'P 1'
_cell_length_a 4.449
_cell_length_b 4.449
_cell_length_c 18.190
_cell_angle_alpha 90.00
_cell_angle_beta 90.00
_cell_angle_gamma 90.00
loop_
_atom_site_label
_atom_site_type_symbol
_atom_site_fract_x
_atom_site_fract_y
_atom_site_fract_z
Mg1 Mg 0.000 0.000 0.000
Mg2 Mg 0.000 0.000 0.245
Mg3 Mg 0.000 0.000 0.500
Mg4 Mg 0.000 0.000 0.755
Mg5 Mg 0.000 0.500 0.117
Mg6 Mg 0.000 0.500 0.372
Mg7 Mg 0.000 0.500 0.628
Mg8 Mg 0.000 0.500 0.883
Mg9 Mg 0.500 0.000 0.117
Mg10 Mg 0.500 0.000 0.372
Mg11 Mg 0.500 0.000 0.628
Mg12 Mg 0.500 0.000 0.883
Tl1 Tl 0.500 0.500 0.245
Tl2 Tl 0.500 0.500 0.500
Tl3 Tl 0.500 0.500 0.755
Ga1 Ga 0.500 0.500 0.000
```

Results
Density of states at the Fermi level, states/eV/cell: 8.54
Energy, eV/f.u.: -30.0
Crystal system: tetragonal

***

[7]
The following is a PBE calculation of a relaxed TbPmCoHg crystal, from the Alexandria database.

Structure (CIF):
```
data_TbPmCoHg
_chemical_formula_sum 'Tb1 Pm1 Co1 Hg1'
_space_group_name_H-M_alt 'P 1'
_space_group_IT_number 1
_space_group_name_Hall 'P 1'
_cell_length_a 5.109
_cell_length_b 5.109
_cell_length_c 5.109
_cell_angle_alpha 60.00
_cell_angle_beta 60.00
_cell_angle_gamma 60.00
loop_
_atom_site_label
_atom_site_type_symbol
_atom_site_fract_x
_atom_site_fract_y
_atom_site_fract_z
Tb1 Tb 0.000 0.000 0.000
Pm1 Pm 0.500 0.500 0.500
Co1 Co 0.250 0.250 0.250
Hg1 Hg 0.750 0.750 0.750
```

Results
Density of states at the Fermi level, states/eV/cell: 3.13
Energy, eV/f.u.: -17.5
Crystal system: cubic

***

[8]
The following is a PBE calculation of a relaxed KSeS3 crystal, from the Alexandria database.

Structure (CIF):
```
data_KSeS3
_chemical_formula_sum 'K1 Se1 S3'
_space_group_name_H-M_alt 'P 1'
_space_group_IT_number 1
_space_group_name_Hall 'P 1'
_cell_length_a 4.981
_cell_length_b 5.863
_cell_length_c 6.006
_cell_angle_alpha 79.04
_cell_angle_beta 73.09
_cell_angle_gamma 88.20
loop_
_atom_site_label
_atom_site_type_symbol
_atom_site_fract_x
_atom_site_fract_y
_atom_site_fract_z
K1 K 0.000 0.000 0.000
Se1 Se 0.708 0.601 0.591
S1 S 0.419 0.624 0.210
S2 S 0.490 0.406 0.987
S3 S 0.662 0.959 0.614
```

Results
Density of states at the Fermi level, states/eV/cell: 1.90
Energy, eV/f.u.: -18.6
Crystal system: triclinic
Uncorrected formation energy, eV/atom: -0.322

***

[9]
The following is a PBE calculation of a relaxed Tc2SbW crystal, from the Alexandria database.

Structure (CIF):
```
data_Tc2SbW
_chemical_formula_sum 'Tc2 Sb1 W1'
_space_group_name_H-M_alt 'P 1'
_space_group_IT_number 1
_space_group_name_Hall 'P 1'
_cell_length_a 4.995
_cell_length_b 4.995
_cell_length_c 4.609
_cell_angle_alpha 105.67
_cell_angle_beta 105.67
_cell_angle_gamma 36.79
loop_
_atom_site_label
_atom_site_type_symbol
_atom_site_fract_x
_atom_site_fract_y
_atom_site_fract_z
Tc1 Tc 0.000 0.000 0.000
Tc2 Tc 0.238 0.238 0.632
Sb1 Sb 0.746 0.746 0.151
W1 W 0.507 0.507 0.506
```

Results
Density of states at the Fermi level, states/eV/cell: 2.98
Energy, eV/f.u.: -37.0
Crystal system: monoclinic
Uncorrected formation energy, eV/atom: 0.214

***

[10]
The following is a PBE calculation of a relaxed K2NaCuCl5 crystal, from the Alexandria database.

Structure (CIF):
```
data_K2NaCuCl5
_chemical_formula_sum 'K4 Na2 Cu2 Cl10'
_space_group_name_H-M_alt 'P 1'
_space_group_IT_number 1
_space_group_name_Hall 'P 1'
_cell_length_a 9.591
_cell_length_b 9.591
_cell_length_c 13.017
_cell_angle_alpha 90.00
_cell_angle_beta 90.00
_cell_angle_gamma 155.43
loop_
_atom_site_label
_atom_site_type_symbol
_atom_site_fract_x
_atom_site_fract_y
_atom_site_fract_z
K1 K 0.128 0.872 0.500
K2 K 0.132 0.868 0.144
K3 K 0.868 0.132 0.644
K4 K 0.872 0.128 0.000
Na1 Na 0.210 0.790 0.853
Na2 Na 0.790 0.210 0.353
Cu1 Cu 0.443 0.557 0.248
Cu2 Cu 0.557 0.443 0.748
Cl1 Cl 0.042 0.958 0.830
Cl2 Cl 0.298 0.702 0.493
Cl3 Cl 0.326 0.674 0.200
Cl4 Cl 0.353 0.647 0.824
Cl5 Cl 0.497 0.503 0.095
Cl6 Cl 0.503 0.497 0.595
Cl7 Cl 0.647 0.353 0.324
Cl8 Cl 0.674 0.326 0.700
Cl9 Cl 0.702 0.298 0.993
Cl10 Cl 0.958 0.042 0.330
```

Results
Density of states at the Fermi level, states/eV/cell: 11.53
Energy, eV/f.u.: -29.4
Crystal system: orthorhombic
Uncorrected formation energy, eV/atom: -1.400